Record 1
ZrRe2SnC | GGA-PBEsol | optimized geometry

```
ZrRe2SnC
1.0
4.9551 0.0000 0.0000
0.0000 4.9551 0.0000
0.0000 0.0000 3.9255
Zr Re Sn C
1 2 1 1
direct
0.0000 0.0000 0.0000
0.0000 0.5000 0.5000
0.5000 0.0000 0.5000
0.5000 0.5000 0.5000
0.5000 0.5000 0.0000
```

The value obtained for the density of states at the Fermi level is 5.2 states/eV/cell. The calculated formation energy comes out at 12.15 eV/f.u. As for the crystal system: tetragonal. The value obtained for the volume is 19.28 Å³ per atom. The value obtained for the electronic total energy is -0.5513 Ry/atom. The calculation puts the total moment at 0.01 μB/f.u.

Record 2
AsIr2Rh | GGA-PBEsol | optimized geometry

```
AsIr2Rh
1.0
1.3998 0.8082 8.4029
-1.3998 0.8082 8.4029
0.0000 -1.6164 8.4029
As Ir Rh
1 2 1
direct
0.0000 0.0000 0.0000
0.2533 0.2533 0.2533
0.7467 0.7467 0.7467
0.5000 0.5000 0.5000
```

The value obtained for the density of states at the Fermi level is 4.4 states/eV/cell. The calculated formation energy comes out at 0.62 eV/f.u. As for the crystal system: trigonal. The value obtained for the volume is 14.26 Å³ per atom. The value obtained for the electronic total energy is -0.5930 Ry/atom. The calculation puts the total moment at 0.00 μB/f.u.

Record 3
Sr2ZrNi | GGA-PBEsol | optimized geometry

```
Sr2ZrNi
1.0
-1.7835 2.8387 5.6898
1.7835 -2.8387 5.6898
1.7835 2.8387 -5.6898
Sr Zr Ni
2 1 1
direct
0.0000 0.0000 0.0000
0.6925 0.1925 0.5000
0.3202 0.8202 0.5000
0.4658 0.4658 0.0000
```

The value obtained for the density of states at the Fermi level is 5.2 states/eV/cell. The calculated formation energy comes out at 1.03 eV/f.u. As for the crystal system: orthorhombic. The value obtained for the volume is 28.81 Å³ per atom. The value obtained for the electronic total energy is -0.3288 Ry/atom. The calculation puts the total moment at 0.00 μB/f.u.

Record 4
Ta3FeSi | GGA-PBEsol | optimized geometry

```
Ta3FeSi
1.0
4.4911 0.0000 0.0000
0.0000 4.4911 0.0000
0.0000 0.0000 4.4911
Ta Fe Si
3 1 1
direct
0.0000 0.0000 0.5000
0.0000 0.5000 0.0000
0.5000 0.0000 0.0000
0.0000 0.0000 0.0000
0.5000 0.5000 0.5000
```

The value obtained for the density of states at the Fermi level is 4.5 states/eV/cell. As for the crystal system: cubic. The value obtained for the volume is 18.12 Å³ per atom. The value obtained for the electronic total energy is -0.7168 Ry/atom. The calculation puts the total moment at 0.00 μB/f.u.

Record 5
Ba6Si6CN14 | GGA-PBEsol | optimized geometry

```
Ba6Si6CN14
1.0
16.3426 0.0000 0.0000
-8.1713 14.1531 0.0000
0.0000 0.0000 5.5243
Ba Si C N
18 18 3 42
direct
0.1551 0.6842 0.0000
0.1727 0.1595 0.0000
0.1754 0.4962 0.5000
0.1932 0.0170 0.5000
0.3158 0.4709 0.0000
0.3208 0.8246 0.5000
0.4915 0.1393 0.5000
0.5038 0.6792 0.5000
0.5060 0.3448 0.0000
0.5291 0.8449 0.0000
0.6479 0.5085 0.5000
0.6552 0.1611 0.0000
0.8238 0.8068 0.5000
0.8389 0.4940 0.0000
0.8405 0.0132 0.0000
0.8607 0.3521 0.5000
0.9830 0.1762 0.5000
0.9868 0.8273 0.0000
0.0190 0.5705 0.5000
0.0205 0.4492 0.0000
0.0955 0.7824 0.5000
0.0962 0.3142 0.0000
0.2176 0.3131 0.5000
0.2179 0.9038 0.0000
0.3522 0.1155 0.0000
0.3536 0.2381 0.5000
0.4287 0.9795 0.0000
0.4295 0.4485 0.5000
0.5508 0.5713 0.0000
0.5515 0.9810 0.5000
0.6858 0.7821 0.0000
0.6869 0.9045 0.5000
0.7619 0.1155 0.5000
0.7632 0.6478 0.0000
0.8845 0.6464 0.5000
0.8845 0.2368 0.0000
0.0000 0.0000 0.5000
0.3333 0.6667 0.0000
0.6667 0.3333 0.5000
0.0000 0.0000 0.2749
0.0000 0.0000 0.7251
0.0309 0.5147 0.2514
0.0309 0.5147 0.7486
0.1109 0.6852 0.5000
0.1135 0.4275 0.0000
0.1505 0.8482 0.2489
0.1505 0.8482 0.7511
0.1518 0.3023 0.2489
0.1518 0.3023 0.7511
0.2399 0.0183 0.0000
0.2401 0.2206 0.5000
0.3140 0.8865 0.0000
0.3148 0.4256 0.5000
0.3333 0.6667 0.2251
0.3333 0.6667 0.7749
0.3642 0.1816 0.2511
0.3642 0.1816 0.7489
0.4440 0.0922 0.0000
0.4468 0.3525 0.5000
0.4838 0.9691 0.2514
0.4838 0.9691 0.7486
0.4853 0.5162 0.2514
0.4853 0.5162 0.7486
0.5725 0.6860 0.0000
0.5744 0.8891 0.5000
0.6475 0.0943 0.5000
0.6481 0.5560 0.0000
0.6667 0.3333 0.2749
0.6667 0.3333 0.7251
0.6977 0.8495 0.2489
0.6977 0.8495 0.7511
0.7784 0.7601 0.0000
0.7794 0.0194 0.5000
0.8174 0.6358 0.2511
0.8174 0.6358 0.7489
0.8184 0.1826 0.2511
0.8184 0.1826 0.7489
0.9057 0.5532 0.5000
0.9078 0.3519 0.0000
0.9806 0.7599 0.5000
0.9817 0.2216 0.0000
```

The value obtained for the density of states at the Fermi level is 19.2 states/eV/cell. As for the crystal system: hexagonal. The value obtained for the volume is 15.77 Å³ per atom. The value obtained for the electronic total energy is -0.5647 Ry/atom. The calculation puts the total moment at 0.00 μB/f.u.

Record 6
Pr3Sc2Fe3O12 | GGA-PBEsol | optimized geometry

```
Pr3Sc2Fe3O12
1.0
-6.3775 6.3775 6.3775
6.3775 -6.3775 6.3775
6.3775 6.3775 -6.3775
Pr Sc Fe O
12 8 12 48
direct
0.1250 0.2500 0.3750
0.1250 0.3750 0.7500
0.2500 0.3750 0.1250
0.2500 0.8750 0.6250
0.3750 0.1250 0.2500
0.3750 0.7500 0.1250
0.6250 0.2500 0.8750
0.6250 0.8750 0.7500
0.7500 0.1250 0.3750
0.7500 0.6250 0.8750
0.8750 0.6250 0.2500
0.8750 0.7500 0.6250
0.0000 0.0000 0.0000
0.0000 0.0000 0.5000
0.0000 0.5000 0.0000
0.0000 0.5000 0.5000
0.5000 0.0000 0.0000
0.5000 0.0000 0.5000
0.5000 0.5000 0.0000
0.5000 0.5000 0.5000
0.1250 0.7500 0.8750
0.1250 0.8750 0.2500
0.2500 0.1250 0.8750
0.2500 0.6250 0.3750
0.3750 0.2500 0.6250
0.3750 0.6250 0.7500
0.6250 0.3750 0.2500
0.6250 0.7500 0.3750
0.7500 0.3750 0.6250
0.7500 0.8750 0.1250
0.8750 0.1250 0.7500
0.8750 0.2500 0.1250
0.0260 0.2084 0.1222
0.0260 0.3176 0.9038
0.0861 0.7084 0.6824
0.0861 0.8778 0.4038
0.0962 0.6222 0.4139
0.0962 0.9740 0.6824
0.1222 0.0260 0.2084
0.1222 0.5962 0.9139
0.1824 0.2084 0.5861
0.1824 0.4740 0.5962
0.2084 0.1222 0.0260
0.2084 0.5861 0.1824
0.2916 0.3176 0.9139
0.2916 0.4740 0.3778
0.3176 0.9038 0.0260
0.3176 0.9139 0.2916
0.3778 0.2916 0.4740
0.3778 0.5861 0.9038
0.4038 0.0861 0.8778
0.4038 0.8176 0.5260
0.4139 0.0962 0.6222
0.4139 0.8176 0.7916
0.4740 0.3778 0.2916
0.4740 0.5962 0.1824
0.5260 0.4038 0.8176
0.5260 0.6222 0.7084
0.5861 0.1824 0.2084
0.5861 0.9038 0.3778
0.5962 0.1824 0.4740
0.5962 0.9139 0.1222
0.6222 0.4139 0.0962
0.6222 0.7084 0.5260
0.6824 0.0861 0.7084
0.6824 0.0962 0.9740
0.7084 0.5260 0.6222
0.7084 0.6824 0.0861
0.7916 0.4139 0.8176
0.7916 0.8778 0.9740
0.8176 0.5260 0.4038
0.8176 0.7916 0.4139
0.8778 0.4038 0.0861
0.8778 0.9740 0.7916
0.9038 0.0260 0.3176
0.9038 0.3778 0.5861
0.9139 0.1222 0.5962
0.9139 0.2916 0.3176
0.9740 0.6824 0.0962
0.9740 0.7916 0.8778
```

As for the crystal system: cubic. The value obtained for the volume is 12.97 Å³ per atom. The value obtained for the electronic total energy is -0.6322 Ry/atom. The calculation puts the total moment at 15.00 μB/f.u.

Record 7
BaTlSb2 | GGA-PBEsol | optimized geometry

```
BaTlSb2
1.0
4.9069 0.0000 0.0000
0.0000 4.9069 0.0000
0.0000 0.0000 5.0485
Ba Tl Sb
1 1 2
direct
0.0000 0.0000 0.0000
0.5000 0.5000 0.0000
0.0000 0.5000 0.5000
0.5000 0.0000 0.5000
```

The value obtained for the density of states at the Fermi level is 1.8 states/eV/cell. As for the crystal system: tetragonal. The value obtained for the volume is 30.39 Å³ per atom. The value obtained for the electronic total energy is -0.2924 Ry/atom. The calculation puts the total moment at 0.00 μB/f.u.

Record 8
TaNiSb2 | GGA-PBEsol | optimized geometry

```
TaNiSb2
1.0
1.8955 -2.4870 0.0000
1.8955 2.4870 0.0000
0.0000 0.0000 7.8524
Ta Ni Sb
1 1 2
direct
0.0000 0.0000 0.0000
0.0000 0.0000 0.5000
0.5000 0.5000 0.2718
0.5000 0.5000 0.7282
```

The value obtained for the density of states at the Fermi level is 3.3 states/eV/cell. As for the crystal system: orthorhombic. The value obtained for the volume is 18.51 Å³ per atom. The value obtained for the electronic total energy is -0.4907 Ry/atom. The calculation puts the total moment at 0.00 μB/f.u.